Record 1
First-principles (PBE) data for a geometry-optimized UFe5As3 structure, as listed in Alexandria.

Structure (extended XYZ):
```
18
Lattice="3.959 0.000 0.000 -1.979 6.040 0.000 0.000 0.000 11.159" Properties=species:S:1:pos:R:3 pbc="T T T"
As 1.979 1.253 0.884
Fe 1.979 3.637 0.404
U 0.000 2.153 2.790
Fe 1.979 1.174 9.641
Fe 0.000 2.403 10.755
As 0.000 1.620 8.369
Fe 1.979 1.174 7.097
As 1.979 4.419 2.790
As 0.000 4.787 10.275
Fe 1.979 3.637 5.175
As 1.979 1.253 4.696
Fe 0.000 2.403 5.983
As 0.000 4.787 6.463
Fe 0.000 0.000 5.579
U 1.979 3.887 8.369
Fe 0.000 0.000 0.000
Fe 0.000 4.865 1.518
Fe 0.000 4.865 4.062
```

Properties
The calculation puts the density of states at the Fermi level at 1.302 states/eV per atom. Its formation energy is -19.6 kJ per mole of atoms.



Record 2
First-principles (PBE) data for a geometry-optimized UFeAs2 structure, as listed in Alexandria.

Structure (extended XYZ):
```
8
Lattice="3.969 0.000 -0.807 -0.164 3.966 -0.807 -0.216 -0.225 9.105" Properties=species:S:1:pos:R:3 pbc="T T T"
As 1.985 0.000 -0.403
As -0.082 1.983 -0.403
As 2.478 2.582 2.024
U 0.418 0.436 2.057
Fe 2.828 0.879 3.746
Fe 0.761 2.862 3.746
U 3.171 3.305 5.434
As 1.111 1.158 5.468
```

Properties
The energy above the most stable polymorph in this dataset is 0 meV per atom. The calculation puts the density of states at the Fermi level at 0.895 states/eV per atom. Its formation energy is -52.1 kJ per mole of atoms.



Record 3
First-principles (PBE) data for a geometry-optimized UFeAs2 structure, as listed in Alexandria.

Structure (extended XYZ):
```
8
Lattice="4.003 0.000 0.000 0.000 4.003 0.000 0.000 0.000 8.954" Properties=species:S:1:pos:R:3 pbc="T T T"
U 0.000 2.001 6.676
As 2.001 0.000 5.925
U 2.001 0.000 2.278
As 0.000 2.001 3.029
Fe 2.001 2.001 4.477
Fe 0.000 0.000 4.477
As 0.000 0.000 0.000
As 2.001 2.001 0.000
```

Properties
The energy above the most stable polymorph in this dataset is 0 meV per atom. The calculation puts the density of states at the Fermi level at 0.709 states/eV per atom. Its formation energy is -52.1 kJ per mole of atoms.



Record 4
First-principles (PBE) data for a geometry-optimized VFe2As structure, as listed in Alexandria.

Structure (extended XYZ):
```
4
Lattice="3.293 0.000 0.000 0.000 3.802 0.000 0.000 0.000 3.802" Properties=species:S:1:pos:R:3 pbc="T T T"
Fe 0.000 1.901 0.000
V 1.646 1.901 1.901
As 1.646 0.000 0.000
Fe 0.000 0.000 1.901
```

Properties
The calculation puts the density of states at the Fermi level at 1.351 states/eV per atom. Its formation energy is -5.5 kJ per mole of atoms.



Record 5
First-principles (PBE) data for a geometry-optimized VFe2As2 structure, as listed in Alexandria.

Structure (extended XYZ):
```
10
Lattice="6.836 0.000 0.000 0.000 6.836 0.000 0.000 0.000 2.738" Properties=species:S:1:pos:R:3 pbc="T T T"
V 3.418 3.418 0.000
As 2.347 5.765 0.000
V 0.000 0.000 0.000
As 5.765 4.489 0.000
As 1.071 2.347 0.000
Fe 5.866 2.449 1.369
Fe 4.387 5.866 1.369
As 4.489 1.071 0.000
Fe 2.449 0.969 1.369
Fe 0.969 4.387 1.369
```

Properties
The calculation puts the density of states at the Fermi level at 1.256 states/eV per atom. Its formation energy is 1.4 kJ per mole of atoms.



Record 6
First-principles (PBE) data for a geometry-optimized V2FeAs2 structure, as listed in Alexandria.

Structure (extended XYZ):
```
10
Lattice="6.585 0.000 0.000 0.000 6.585 0.000 0.000 0.000 3.281" Properties=species:S:1:pos:R:3 pbc="T T T"
As 5.573 4.305 0.000
V 2.344 0.948 1.640
Fe 0.000 0.000 0.000
Fe 3.293 3.293 0.000
As 2.281 5.573 0.000
V 5.637 2.344 1.640
V 0.948 4.241 1.640
As 4.305 1.012 0.000
As 1.012 2.281 0.000
V 4.241 5.637 1.640
```

Properties
The calculation puts the density of states at the Fermi level at 0.995 states/eV per atom. Its formation energy is -15.8 kJ per mole of atoms.



Record 7
First-principles (PBE) data for a geometry-optimized VFeAs2 structure, as listed in Alexandria.

Structure (extended XYZ):
```
4
Lattice="2.039 -2.668 -2.633 -1.405 -3.999 -0.494 -1.824 -1.182 -3.672" Properties=species:S:1:pos:R:3 pbc="T T T"
Fe -0.595 -3.924 -3.400
V 0.000 0.000 0.000
As -0.892 -5.886 -5.100
As -0.297 -1.962 -1.700
```

Properties
The energy above the most stable polymorph in this dataset is 320 meV per atom. The calculation puts the density of states at the Fermi level at 1.336 states/eV per atom. Its formation energy is -0.3 kJ per mole of atoms.



Record 8
First-principles (PBE) data for a geometry-optimized V2FeAs structure, as listed in Alexandria.

Structure (extended XYZ):
```
4
Lattice="3.855 0.000 0.000 0.000 3.656 0.000 0.000 0.000 3.656" Properties=species:S:1:pos:R:3 pbc="T T T"
Fe 1.927 1.828 1.828
V 0.000 0.000 1.828
V 0.000 1.828 0.000
As 1.927 0.000 0.000
```

Properties
The calculation puts the density of states at the Fermi level at 0.624 states/eV per atom. Its formation energy is -20.7 kJ per mole of atoms.



Record 9
First-principles (PBE) data for a geometry-optimized VFeAs2 structure, as listed in Alexandria.

Structure (extended XYZ):
```
8
Lattice="5.434 0.000 0.000 0.000 5.434 0.000 2.717 2.717 5.642" Properties=species:S:1:pos:R:3 pbc="T T T"
As 4.181 1.358 1.411
V 2.717 5.434 2.821
Fe 0.000 0.000 0.000
V 2.717 2.717 0.000
As 6.792 6.898 4.232
As 4.075 3.970 4.232
Fe 5.434 2.717 2.821
As 1.253 4.075 1.411
```

Properties
The energy above the most stable polymorph in this dataset is 591 meV per atom. The calculation puts the density of states at the Fermi level at 1.413 states/eV per atom. Its formation energy is 25.8 kJ per mole of atoms.



Record 10
First-principles (PBE) data for a geometry-optimized VFeAs3 structure, as listed in Alexandria.

Structure (extended XYZ):
```
5
Lattice="-1.554 3.337 -2.938 -3.102 -3.044 -1.816 -3.186 1.335 3.202" Properties=species:S:1:pos:R:3 pbc="T T T"
As -1.551 -1.522 -0.908
Fe -3.921 0.814 -0.776
V 0.000 0.000 0.000
As -1.593 0.668 1.601
As -0.777 1.669 -1.469
```

Properties
The calculation puts the density of states at the Fermi level at 1.329 states/eV per atom. Its formation energy is 62.0 kJ per mole of atoms.



Record 11
First-principles (PBE) data for a geometry-optimized VFeAs2 structure, as listed in Alexandria.

Structure (extended XYZ):
```
8
Lattice="-2.066 -2.150 1.509 0.166 -3.340 -4.530 4.850 -2.989 2.382" Properties=species:S:1:pos:R:3 pbc="T T T"
Fe 3.678 -7.193 -1.510
As 2.345 -4.150 0.998
As 0.830 -1.148 -0.499
As 0.624 -4.708 -2.153
As 4.168 -4.824 -1.165
V 2.254 -3.019 -1.215
Fe -0.647 -2.908 -1.329
V 2.680 -1.664 1.300
```

Properties
The energy above the most stable polymorph in this dataset is 0 meV per atom. The calculation puts the density of states at the Fermi level at 0.767 states/eV per atom. Its formation energy is -31.2 kJ per mole of atoms.



Record 12
First-principles (PBE) data for a geometry-optimized V2Fe2As structure, as listed in Alexandria.

Structure (extended XYZ):
```
10
Lattice="-4.129 2.403 -4.773 -5.334 -1.508 3.856 0.126 2.527 1.163" Properties=species:S:1:pos:R:3 pbc="T T T"
V -5.223 2.770 -2.117
Fe -2.508 -0.236 0.785
V -7.143 1.581 0.674
Fe -6.145 -0.425 1.591
As -4.732 0.448 -0.458
Fe -6.956 1.131 -1.701
Fe -3.318 1.320 -2.508
V -4.114 0.653 2.363
As 0.000 0.000 0.000
V -2.194 1.841 -0.428
```

Properties
The calculation puts the density of states at the Fermi level at 0.592 states/eV per atom. Its formation energy is 1.0 kJ per mole of atoms.